No. 1
PBE-GGA NaLi2Cl3, relaxed; E_form (uncorrected) = -1.688 eV/atom; density = 1.54 g/cm3
1.0
4.322 -6.268 0.000
4.322 6.268 0.000
0.000 0.000 5.707
Na Li Cl
2 4 6
Direct
0.235 0.765 0.750
0.765 0.235 0.250
0.177 0.177 0.000
0.177 0.177 0.500
0.823 0.823 0.000
0.823 0.823 0.500
0.095 0.905 0.250
0.150 0.405 0.250
0.405 0.150 0.750
0.595 0.850 0.250
0.850 0.595 0.750
0.905 0.095 0.750

=====

No. 2
PBE-GGA Na3Li5Cl12, relaxed; E_form (uncorrected) = -1.232 eV/atom; density = 1.90 g/cm3
1.0
-7.738 7.738 7.738
7.738 -7.738 7.738
7.738 7.738 -7.738
Na Li Cl
12 20 48
Direct
0.125 0.250 0.375
0.125 0.375 0.750
0.250 0.375 0.125
0.250 0.875 0.625
0.375 0.125 0.250
0.375 0.750 0.125
0.625 0.250 0.875
0.625 0.875 0.750
0.750 0.125 0.375
0.750 0.625 0.875
0.875 0.625 0.250
0.875 0.750 0.625
0.000 0.000 0.000
0.000 0.000 0.500
0.000 0.500 0.000
0.000 0.500 0.500
0.125 0.750 0.875
0.125 0.875 0.250
0.250 0.125 0.875
0.250 0.625 0.375
0.375 0.250 0.625
0.375 0.625 0.750
0.500 0.000 0.000
0.500 0.000 0.500
0.500 0.500 0.000
0.500 0.500 0.500
0.625 0.375 0.250
0.625 0.750 0.375
0.750 0.375 0.625
0.750 0.875 0.125
0.875 0.125 0.750
0.875 0.250 0.125
0.032 0.216 0.103
0.032 0.315 0.929
0.071 0.603 0.387
0.071 0.968 0.685
0.103 0.032 0.216
0.103 0.571 0.887
0.113 0.716 0.685
0.113 0.897 0.429
0.185 0.216 0.613
0.185 0.468 0.571
0.216 0.103 0.032
0.216 0.613 0.185
0.284 0.315 0.887
0.284 0.468 0.397
0.315 0.887 0.284
0.315 0.929 0.032
0.387 0.071 0.603
0.387 0.815 0.784
0.397 0.284 0.468
0.397 0.613 0.929
0.429 0.113 0.897
0.429 0.815 0.532
0.468 0.397 0.284
0.468 0.571 0.185
0.532 0.429 0.815
0.532 0.603 0.716
0.571 0.185 0.468
0.571 0.887 0.103
0.603 0.387 0.071
0.603 0.716 0.532
0.613 0.185 0.216
0.613 0.929 0.397
0.685 0.071 0.968
0.685 0.113 0.716
0.716 0.532 0.603
0.716 0.685 0.113
0.784 0.387 0.815
0.784 0.897 0.968
0.815 0.532 0.429
0.815 0.784 0.387
0.887 0.103 0.571
0.887 0.284 0.315
0.897 0.429 0.113
0.897 0.968 0.784
0.929 0.032 0.315
0.929 0.397 0.613
0.968 0.685 0.071
0.968 0.784 0.897

=====

No. 3
PBE-GGA NaLiCl3, relaxed; E_form (uncorrected) = -0.915 eV/atom; density = 1.57 g/cm3
1.0
5.244 0.000 0.000
0.000 5.244 0.000
0.000 0.000 5.244
Na Li Cl
1 1 3
Direct
0.000 0.000 0.000
0.500 0.500 0.500
0.000 0.000 0.500
0.000 0.500 0.000
0.500 0.000 0.000

=====

No. 4
PBE-GGA Na4Li2Cl, relaxed; E_form (uncorrected) = -0.264 eV/atom; density = 0.98 g/cm3
1.0
-2.705 2.705 8.204
2.705 -2.705 8.204
2.705 2.705 -8.204
Na Li Cl
4 2 1
Direct
0.000 0.500 0.500
0.176 0.176 0.000
0.500 0.000 0.500
0.824 0.824 0.000
0.367 0.367 0.000
0.633 0.633 0.000
0.000 0.000 0.000

=====

No. 5
PBE-GGA NaLi4Cl5, relaxed; E_form (uncorrected) = -1.794 eV/atom; density = 2.06 g/cm3
1.0
6.178 -1.854 0.000
6.178 1.854 0.000
-4.501 0.000 8.007
Na Li Cl
1 4 5
Direct
0.000 0.000 0.000
0.195 0.195 0.791
0.400 0.400 0.595
0.600 0.600 0.405
0.805 0.805 0.209
0.000 0.000 0.500
0.206 0.206 0.310
0.395 0.395 0.113
0.605 0.605 0.887
0.794 0.794 0.690

=====

No. 6
PBE-GGA Na3LiCl, relaxed; E_form (uncorrected) = -0.513 eV/atom; density = 1.10 g/cm3
1.0
5.515 0.000 0.000
0.000 5.515 0.000
0.000 0.000 5.515
Na Li Cl
3 1 1
Direct
0.000 0.000 0.500
0.000 0.500 0.000
0.500 0.000 0.000
0.500 0.500 0.500
0.000 0.000 0.000

=====

No. 7
PBE-GGA NaLi2Cl, relaxed; E_form (uncorrected) = -0.679 eV/atom; density = 1.03 g/cm3
1.0
-3.652 3.652 4.385
3.652 -3.652 4.385
3.652 3.652 -4.385
Na Li Cl
2 4 2
Direct
0.000 0.000 0.000
0.750 0.250 0.500
0.235 0.125 0.610
0.375 0.765 0.890
0.515 0.625 0.390
0.875 0.485 0.110
0.250 0.750 0.500
0.500 0.500 0.000

=====

No. 8
PBE-GGA Na2LiCl, relaxed; E_form (uncorrected) = -0.439 eV/atom; density = 1.31 g/cm3
1.0
0.000 3.827 3.827
3.827 0.000 3.827
3.827 3.827 0.000
Na Li Cl
2 1 1
Direct
0.250 0.250 0.250
0.750 0.750 0.750
0.000 0.000 0.000
0.500 0.500 0.500

=====

No. 9
PBE-GGA NaLi6Cl8, relaxed; E_form (uncorrected) = -1.556 eV/atom; density = 1.70 g/cm3
1.0
5.126 2.960 3.733
-5.126 2.960 3.733
0.000 -5.919 3.733
Na Li Cl
1 6 8
Direct
0.000 0.000 0.000
0.172 0.386 0.570
0.386 0.570 0.172
0.430 0.828 0.614
0.570 0.172 0.386
0.614 0.430 0.828
0.828 0.614 0.430
0.152 0.694 0.382
0.243 0.243 0.243
0.306 0.618 0.848
0.382 0.152 0.694
0.618 0.848 0.306
0.694 0.382 0.152
0.757 0.757 0.757
0.848 0.306 0.618

=====

No. 10
PBE-GGA Na3LiCl4, relaxed; E_form (uncorrected) = -1.781 eV/atom; density = 2.08 g/cm3
1.0
5.581 0.000 0.000
0.000 5.581 0.000
0.000 0.000 5.581
Na Li Cl
3 1 4
Direct
0.000 0.000 0.500
0.000 0.500 0.000
0.500 0.000 0.000
0.500 0.500 0.500
0.000 0.000 0.000
0.000 0.500 0.500
0.500 0.000 0.500
0.500 0.500 0.000

=====

No. 11
PBE-GGA Na3Li4Cl8, relaxed; E_form (uncorrected) = -1.586 eV/atom; density = 1.99 g/cm3
1.0
5.409 -5.423 0.000
5.409 5.423 0.000
-5.238 0.000 5.412
Na Li Cl
3 4 8
Direct
0.000 0.000 0.000
0.000 0.500 0.000
0.500 0.000 0.000
0.000 0.500 0.500
0.500 0.000 0.500
0.500 0.500 0.000
0.500 0.500 0.500
0.256 0.744 0.000
0.262 0.738 0.500
0.266 0.266 0.518
0.274 0.274 0.028
0.726 0.726 0.972
0.734 0.734 0.482
0.738 0.262 0.500
0.744 0.256 0.000

=====

No. 12
PBE-GGA Na2LiCl, relaxed; E_form (uncorrected) = -0.610 eV/atom; density = 1.11 g/cm3
1.0
-4.048 4.048 4.021
4.048 -4.048 4.021
4.048 4.048 -4.021
Na Li Cl
4 2 2
Direct
0.056 0.625 0.931
0.375 0.306 0.431
0.694 0.125 0.069
0.875 0.944 0.569
0.250 0.750 0.500
0.500 0.500 0.000
0.000 0.000 0.000
0.750 0.250 0.500